Entry 1:
An optimized crystal structure of K3NbAg, computed with PBE.

Summary:
N(E_F) in states/eV per atom: 0.459
Space group: Pm-3m, No. 221
Spin magnetization in μB per atom: 1.005
ΔE_f in meV per atom: 1085
Offset from the most stable computed form in meV per atom: 0.0

Geometry as CIF:
```
data_K3NbAg
_space_group_name_H-M_alt 'P 1'
_space_group_IT_number 1
_cell_length_a 6.312
_cell_length_b 6.312
_cell_length_c 6.312
_cell_angle_alpha 90.00
_cell_angle_beta 90.00
_cell_angle_gamma 90.00
loop_
_space_group_symop_operation_xyz
'x,y,z'
loop_
_atom_site_label
_atom_site_type_symbol
_atom_site_fract_x
_atom_site_fract_y
_atom_site_fract_z
K1 K 0.000 0.000 0.500
Ag1 Ag 0.000 0.000 0.000
K2 K 0.000 0.500 0.000
Nb1 Nb 0.500 0.500 0.500
K3 K 0.500 0.000 0.000
```

---

Entry 2:
An optimized crystal structure of KNb3Ag, computed with PBE.

Summary:
N(E_F) in states/eV per atom: 1.037
Space group: Pm-3m, No. 221
Spin magnetization in μB per atom: 0.000
ΔE_f in meV per atom: 2596
Offset from the most stable computed form in meV per atom: 627.9

Geometry as CIF:
```
data_KNb3Ag
_space_group_name_H-M_alt 'P 1'
_space_group_IT_number 1
_cell_length_a 4.637
_cell_length_b 4.637
_cell_length_c 4.637
_cell_angle_alpha 90.00
_cell_angle_beta 90.00
_cell_angle_gamma 90.00
loop_
_space_group_symop_operation_xyz
'x,y,z'
loop_
_atom_site_label
_atom_site_type_symbol
_atom_site_fract_x
_atom_site_fract_y
_atom_site_fract_z
Nb1 Nb 0.500 0.000 0.000
K1 K 0.000 0.000 0.000
Ag1 Ag 0.500 0.500 0.500
Nb2 Nb 0.000 0.000 0.500
Nb3 Nb 0.000 0.500 0.000
```

---

Question: Which formula does entry 2 have?
Answer: KNb3Ag

---

Question: Look up the offset from the most stable computed form of the first one.
Answer: 0.0 meV per atom